# 1
# SmTmNi PBE-GGA relaxed
data_SmTmNi
_symmetry_space_group_name_H-M 'P 1'
_symmetry_Int_Tables_number 1
_symmetry_space_group_name_Hall 'P 1'
_cell_length_a 3.8873
_cell_length_b 3.8810
_cell_length_c 12.3741
_cell_angle_alpha 90.04
_cell_angle_beta 81.07
_cell_angle_gamma 60.11
loop_
_atom_site_label
_atom_site_type_symbol
_atom_site_fract_x
_atom_site_fract_y
_atom_site_fract_z
_atom_site_occupancy
Sm1 Sm 0.7579 0.3921 0.9032 1
Sm2 Sm 0.5724 0.9842 0.6783 1
Tm1 Tm 0.0701 0.2358 0.4362 1
Tm2 Tm 0.2614 0.1402 0.1453 1
Ni1 Ni 0.8318 0.8552 0.2922 1
Ni2 Ni 0.4999 0.5208 0.2894 1
# * magnetization: 0.00 μB/atom
# * energy above the most stable polymorph in this dataset: 97 meV/atom
# * calculated volume: 26.5 A^3/atom

# 2
# Sm2Tm3Ni2 PBE-GGA relaxed
data_Sm2Tm3Ni2
_symmetry_space_group_name_H-M 'P 1'
_symmetry_Int_Tables_number 1
_symmetry_space_group_name_Hall 'P 1'
_cell_length_a 3.5728
_cell_length_b 6.3594
_cell_length_c 8.4335
_cell_angle_alpha 73.18
_cell_angle_beta 77.77
_cell_angle_gamma 73.69
loop_
_atom_site_label
_atom_site_type_symbol
_atom_site_fract_x
_atom_site_fract_y
_atom_site_fract_z
_atom_site_occupancy
Ni1 Ni 0.1694 0.9017 0.7595 1
Ni2 Ni 0.8306 0.0983 0.2405 1
Tm1 Tm 0.5000 0.0000 0.0000 1
Tm2 Tm 0.3831 0.8008 0.4329 1
Tm3 Tm 0.6169 0.1992 0.5671 1
Sm1 Sm 0.8353 0.5204 0.8091 1
Sm2 Sm 0.1647 0.4796 0.1909 1
# * energy: -5.179 eV per atom
# * magnetization: 0.00 μB/atom
# * calculated volume: 24.9 A^3/atom

Q: Which value of calculated volume does entry 2 give?
A: 24.9 A^3/atom

Q: What is the formula in the first record?
A: SmTmNi